First-principles (GGA-PBE) data for a relaxed ZrBe5Cu7 crystal, as listed in Alexandria via LeMat-Bulk.

- DFT formation energy: -145 meV per atom
- Crystal system: orthorhombic
- Space group: Imm2, No. 44

Geometry as POSCAR:
```
ZrBe5Cu7
1.0
1.428 -2.714 3.264
-1.573 -5.805 -1.065
5.593 -2.158 -1.168
Zr Be Cu
1 5 7
Cartesian
1.428 -2.715 3.263
1.957 -8.219 -0.008
1.243 -6.863 -1.640
5.492 -6.420 -0.059
4.778 -5.064 -1.691
4.150 -8.137 0.638
2.343 -4.567 1.323
3.131 -6.162 -0.347
4.531 -6.176 2.101
2.374 -7.273 2.132
1.292 -2.527 0.407
0.621 -6.368 0.580
4.795 -4.244 0.520
```

First-principles (GGA-PBE) data for a relaxed ZrBeCu4 crystal, as listed in Alexandria via LeMat-Bulk.

- DFT formation energy: -17 meV per atom
- Crystal system: cubic
- Space group: F-43m, No. 216

Geometry as POSCAR:
```
ZrBeCu4
1.0
0.655 -3.577 3.218
-3.834 -2.350 1.832
-0.864 -4.604 -1.279
Zr Be Cu
1 1 4
Cartesian
-3.033 -7.898 2.828
0.000 0.000 0.000
-1.184 -5.740 3.029
-1.948 -6.257 0.768
-3.442 -5.123 2.332
-1.513 -3.941 1.411
```

First-principles (GGA-PBE) data for a relaxed Zr2BeCu crystal, as listed in Alexandria via LeMat-Bulk.

- DFT formation energy: 434 meV per atom
- Crystal system: cubic
- Space group: F-43m, No. 216

Geometry as POSCAR:
```
Zr2BeCu
1.0
-4.100 -0.250 2.110
-0.556 -2.783 3.643
-0.540 1.799 4.219
Be Cu Zr
1 1 2
Cartesian
-2.598 -0.617 4.985
-3.897 -0.926 7.478
0.000 0.000 0.000
-1.299 -0.309 2.493
```

First-principles (GGA-PBE) data for a relaxed ZrBe2Cu crystal, as listed in Alexandria via LeMat-Bulk.

- Relative energy among the computed polymorphs: 117 meV per atom
- DFT formation energy: -25 meV per atom
- Crystal system: cubic
- Space group: F-43m, No. 216

Geometry as POSCAR:
```
ZrBe2Cu
1.0
-2.653 2.130 2.465
-3.023 -2.801 -0.819
3.706 -1.283 1.509
Be Cu Zr
2 1 1
Cartesian
0.000 0.000 0.000
-1.078 -2.210 0.757
-2.838 -0.335 0.823
-0.893 0.256 2.399
```

First-principles (GGA-PBE) data for a relaxed Dy4Be crystal, as listed in Alexandria via LeMat-Bulk.

- DFT formation energy: 272 meV per atom
- Crystal system: cubic
- Space group: Pm-3m, No. 221

Geometry as POSCAR:
```
Dy4Be
1.0
-4.841 -0.986 1.900
1.953 -3.956 2.925
0.875 3.376 3.982
Be Dy
1 4
Cartesian
-1.006 -0.783 4.403
0.000 0.000 0.000
-1.983 1.195 2.941
1.414 -0.290 3.453
-1.444 -2.471 2.412
```

First-principles (GGA-PBE) data for a relaxed Dy2Be17 crystal, as listed in Alexandria via LeMat-Bulk.

- DFT formation energy: -141 meV per atom
- Crystal system: trigonal
- Space group: R-3m, No. 166

Geometry as POSCAR:
```
Dy2Be17
1.0
-4.065 0.309 -4.164
-4.612 0.418 3.537
-0.461 5.808 -0.115
Dy Be
2 17
Cartesian
-3.098 2.215 -0.252
-6.041 4.319 -0.491
-5.820 1.393 -0.434
-3.999 4.172 1.613
-8.271 5.914 -0.672
-0.867 0.620 -0.070
-0.231 2.904 -0.058
-2.306 0.209 1.768
-2.032 0.154 -2.082
-4.460 0.388 1.391
-3.061 1.841 -3.036
-1.618 4.306 0.902
-4.217 0.339 -2.019
-1.465 4.276 -1.243
-3.456 1.920 2.519
-5.140 2.362 -2.355
-3.319 5.142 -0.309
-5.417 2.418 1.537
-3.722 4.117 -2.279
```

First-principles (GGA-PBE) data for a relaxed Dy3Be crystal, as listed in Alexandria via LeMat-Bulk.

- Relative energy among the computed polymorphs: 241 meV per atom
- DFT formation energy: 349 meV per atom
- Crystal system: orthorhombic
- Space group: Pmm2, No. 25

Geometry as POSCAR:
```
Dy3Be
1.0
-2.539 -2.519 0.092
2.359 -2.404 -0.703
1.465 -1.155 8.863
Be Dy
1 3
Cartesian
1.452 -1.144 8.784
1.861 -1.738 3.768
0.104 -2.614 0.865
-0.177 -2.120 6.652
```

First-principles (GGA-PBE) data for a relaxed DyBe crystal, as listed in Alexandria via LeMat-Bulk.

- Relative energy among the computed polymorphs: 0 meV per atom
- DFT formation energy: 5 meV per atom
- Crystal system: orthorhombic
- Space group: Cmcm, No. 63

Geometry as POSCAR:
```
DyBe
1.0
-0.629 -4.277 1.890
2.891 -1.490 -2.410
3.125 2.983 1.904
Be Dy
2 2
Cartesian
3.217 -1.668 3.190
2.170 -1.117 -1.806
1.345 -2.230 1.292
4.043 -0.554 0.092
```

First-principles (GGA-PBE) data for a relaxed DyBe4 crystal, as listed in Alexandria via LeMat-Bulk.

- DFT formation energy: 2331 meV per atom
- Crystal system: cubic
- Space group: Pm-3m, No. 221

Geometry as POSCAR:
```
DyBe4
1.0
4.967 0.000 0.000
0.000 4.967 0.000
0.000 0.000 4.967
Be Dy
4 1
Cartesian
0.000 0.000 0.000
2.483 0.000 2.483
0.000 2.483 2.483
2.483 2.483 0.000
2.483 2.483 2.483
```

First-principles (GGA-PBE) data for a relaxed DyBe13 crystal, as listed in Alexandria via LeMat-Bulk.

- DFT formation energy: -197 meV per atom
- Crystal system: cubic
- Space group: Fm-3c, No. 226

Geometry as POSCAR:
```
DyBe13
1.0
-7.012 -0.562 1.524
-2.149 -0.757 6.827
-3.405 5.402 3.321
Dy Be
2 26
Cartesian
-3.141 1.021 2.918
-9.424 3.062 8.755
-6.283 2.041 5.836
0.000 0.000 0.000
-5.085 2.325 7.586
-3.482 3.577 4.436
-7.203 -0.768 7.688
-3.445 0.824 7.458
-9.121 3.259 4.215
-7.409 -0.406 3.621
-6.100 1.122 2.477
-7.134 1.446 7.706
-5.476 0.288 6.759
-8.399 2.266 6.058
-5.431 2.637 3.967
-7.466 0.261 5.745
-7.090 3.795 4.914
-5.100 3.821 5.928
-4.167 1.816 5.615
-8.790 4.443 6.176
-5.362 4.850 3.985
-6.466 2.960 9.196
-5.157 4.489 8.052
-9.084 0.505 7.237
-3.776 -0.360 5.496
-5.600 0.485 4.537
-7.481 1.758 4.087
-6.965 3.598 7.135
```

First-principles (GGA-PBE) data for a relaxed Dy3Be crystal, as listed in Alexandria via LeMat-Bulk.

- Relative energy among the computed polymorphs: 0 meV per atom
- DFT formation energy: 108 meV per atom
- Crystal system: orthorhombic
- Space group: Immm, No. 71

Geometry as POSCAR:
```
Dy3Be
1.0
-3.593 0.084 -0.018
-0.106 -4.880 -1.620
1.782 0.646 6.101
Be Dy
1 3
Cartesian
-0.097 -4.473 -1.485
-0.084 -3.066 2.437
-1.841 -1.991 -0.684
-1.816 -0.271 2.295
```

First-principles (GGA-PBE) data for a relaxed DyBe crystal, as listed in Alexandria via LeMat-Bulk.

- Relative energy among the computed polymorphs: 99 meV per atom
- DFT formation energy: 105 meV per atom
- Crystal system: cubic
- Space group: Pm-3m, No. 221

Geometry as POSCAR:
```
DyBe
1.0
-0.722 2.855 -1.703
-2.698 -1.522 -1.408
-1.944 1.052 2.587
Be Dy
1 1
Cartesian
-2.682 1.193 -0.262
0.000 0.000 0.000
```

First-principles (GGA-PBE) data for a relaxed DyErBe crystal, as listed in Alexandria via LeMat-Bulk.

- Relative energy among the computed polymorphs: 299 meV per atom
- DFT formation energy: 378 meV per atom
- Crystal system: tetragonal
- Space group: P4_12_12, No. 92

Geometry as POSCAR:
```
DyErBe
1.0
-3.894 -5.538 0.451
4.031 -3.195 -4.425
4.036 -2.398 5.408
Be Er Dy
4 4 4
Cartesian
0.068 -4.341 -1.976
2.087 -5.591 0.705
5.017 -3.801 -3.059
-0.844 -7.330 4.492
1.387 -6.670 3.120
2.125 -8.049 -0.414
0.029 -1.883 -0.857
2.786 -4.461 -1.687
-0.652 -5.477 0.429
0.107 -6.827 -3.107
2.048 -3.105 1.836
4.825 -5.653 1.004
```

First-principles (GGA-PBE) data for a relaxed DyErBe crystal, as listed in Alexandria via LeMat-Bulk.

- Relative energy among the computed polymorphs: 0 meV per atom
- DFT formation energy: 79 meV per atom
- Crystal system: tetragonal
- Space group: I4mm, No. 107

Geometry as POSCAR:
```
DyErBe
1.0
3.441 0.000 0.000
0.000 3.441 0.000
-1.721 -1.721 5.961
Be Dy Er
1 1 1
Cartesian
1.721 1.721 2.009
0.000 0.000 0.356
0.000 0.000 3.596
```

First-principles (GGA-PBE) data for a relaxed DyErBe4 crystal, as listed in Alexandria via LeMat-Bulk.

- DFT formation energy: 78 meV per atom
- Crystal system: cubic
- Space group: F-43m, No. 216

Geometry as POSCAR:
```
DyErBe4
1.0
-2.035 -3.725 2.665
2.893 -2.851 2.936
-0.343 0.382 4.986
Be Dy Er
4 1 1
Cartesian
0.493 -4.064 4.123
-1.126 -2.445 5.148
0.322 -3.872 6.618
1.341 -2.008 5.284
0.000 0.000 0.000
0.129 -1.549 2.647
```

First-principles (GGA-PBE) data for a relaxed DyErBeIn crystal, as listed in Alexandria via LeMat-Bulk.

- DFT formation energy: -119 meV per atom
- Crystal system: cubic
- Space group: F-43m, No. 216

Geometry as POSCAR:
```
DyErBeIn
1.0
-2.199 -1.236 -4.421
0.433 -4.733 -1.822
-4.048 -3.086 -0.055
Be Dy In Er
1 1 1 1
Cartesian
0.000 0.000 0.000
-1.453 -2.264 -1.575
-2.907 -4.527 -3.149
-4.360 -6.791 -4.724
```

First-principles (GGA-PBE) data for a relaxed DyErMgBe crystal, as listed in Alexandria via LeMat-Bulk.

- DFT formation energy: 90 meV per atom
- Crystal system: cubic
- Space group: F-43m, No. 216

Geometry as POSCAR:
```
DyErMgBe
1.0
-2.748 3.685 -2.130
-4.673 -0.981 -1.693
-4.024 1.888 2.431
Be Mg Dy Er
1 1 1 1
Cartesian
-5.722 2.296 -0.696
0.000 0.000 0.000
-8.583 3.443 -1.044
-2.861 1.148 -0.348
```

First-principles (GGA-PBE) data for a relaxed DyErBeOs crystal, as listed in Alexandria via LeMat-Bulk.

- DFT formation energy: -93 meV per atom
- Crystal system: cubic
- Space group: F-43m, No. 216

Geometry as POSCAR:
```
DyErBeOs
1.0
4.805 0.000 0.000
2.403 4.161 0.000
2.403 1.387 3.923
Be Dy Os Er
1 1 1 1
Cartesian
0.000 0.000 0.000
2.403 1.387 0.981
4.805 2.774 1.962
7.208 4.161 2.943
```

First-principles (GGA-PBE) data for a relaxed DyErBePd crystal, as listed in Alexandria via LeMat-Bulk.

- DFT formation energy: -372 meV per atom
- Crystal system: cubic
- Space group: F-43m, No. 216

Geometry as POSCAR:
```
DyErBePd
1.0
4.891 0.000 0.000
2.446 4.236 0.000
2.446 1.412 3.994
Be Dy Pd Er
1 1 1 1
Cartesian
4.891 2.824 1.997
2.446 1.412 0.998
0.000 0.000 0.000
7.337 4.236 2.995
```

First-principles (GGA-PBE) data for a relaxed DyErBeRh crystal, as listed in Alexandria via LeMat-Bulk.

- DFT formation energy: -396 meV per atom
- Crystal system: cubic
- Space group: F-43m, No. 216

Geometry as POSCAR:
```
DyErBeRh
1.0
-3.740 -3.042 0.147
-1.055 -2.329 4.090
-3.963 1.169 2.488
Be Dy Rh Er
1 1 1 1
Cartesian
-4.379 -2.101 3.362
-2.189 -1.051 1.681
0.000 0.000 0.000
-6.568 -3.152 5.044
```

First-principles (GGA-PBE) data for a relaxed DyErBeRu crystal, as listed in Alexandria via LeMat-Bulk.

- DFT formation energy: -166 meV per atom
- Crystal system: cubic
- Space group: F-43m, No. 216

Geometry as POSCAR:
```
DyErBeRu
1.0
4.805 0.000 0.000
2.403 4.161 0.000
2.403 1.387 3.923
Ru Dy Be Er
1 1 1 1
Cartesian
7.208 4.161 2.943
4.805 2.774 1.962
2.403 1.387 0.981
0.000 0.000 0.000
```

First-principles (GGA-PBE) data for a relaxed EuDy2Be crystal, as listed in Alexandria via LeMat-Bulk.

- Relative energy among the computed polymorphs: 674 meV per atom
- DFT formation energy: 781 meV per atom
- Crystal system: trigonal
- Space group: R-3m, No. 166

Geometry as POSCAR:
```
EuDy2Be
1.0
3.458 0.000 0.000
1.729 2.995 0.000
1.729 0.998 11.744
Eu Be Dy
1 1 2
Cartesian
3.458 1.996 5.872
0.000 0.000 0.000
1.729 0.998 8.860
5.187 2.995 2.884
```

First-principles (GGA-PBE) data for a relaxed EuDy2Be crystal, as listed in Alexandria via LeMat-Bulk.

- Relative energy among the computed polymorphs: 0 meV per atom
- DFT formation energy: 107 meV per atom
- Crystal system: tetragonal
- Space group: P4/mmm, No. 123

Geometry as POSCAR:
```
EuDy2Be
1.0
3.500 0.000 0.000
0.000 3.500 0.000
0.000 0.000 8.962
Eu Be Dy
1 1 2
Cartesian
1.750 1.750 4.481
1.750 1.750 0.000
0.000 0.000 7.357
0.000 0.000 1.605
```

First-principles (GGA-PBE) data for a relaxed DyBe2F8 crystal, as listed in Alexandria via LeMat-Bulk.

- Formation energy without anion corrections: -300 kJ/mol of atoms
- Crystal system: monoclinic
- Space group: C2/m, No. 12

Geometry as POSCAR:
```
DyBe2F8
1.0
-0.770 -4.591 -3.538
-0.804 -4.544 2.923
-4.582 -2.668 1.311
Dy Be F
1 2 8
Cartesian
0.000 0.000 0.000
-4.780 -8.807 0.957
-1.376 -2.997 -0.260
-4.520 -5.052 1.422
-3.605 -5.775 -1.565
-4.809 -7.844 2.146
-1.347 -3.960 -1.450
-2.552 -6.029 2.261
-1.637 -6.752 -0.726
-4.008 -8.315 -0.280
-2.148 -3.489 0.976
```

First-principles (GGA-PBE) data for a relaxed DyBeF6 crystal, as listed in Alexandria via LeMat-Bulk.

- Formation energy without anion corrections: -293 kJ/mol of atoms
- Crystal system: monoclinic
- Space group: C2/m, No. 12

Geometry as POSCAR:
```
DyBeF6
1.0
4.292 0.369 0.054
-1.254 4.122 0.054
-0.503 -0.744 4.511
Dy Be F
1 1 6
Cartesian
0.000 0.000 0.000
1.268 1.874 2.309
0.366 0.541 2.869
1.966 0.839 1.068
2.169 3.206 1.750
2.488 1.611 3.551
0.569 2.909 3.551
0.047 2.137 1.068
```

First-principles (GGA-PBE) data for a relaxed KDyBe2F8 crystal, as listed in Alexandria via LeMat-Bulk.

- Formation energy without anion corrections: -337 kJ/mol of atoms
- Crystal system: monoclinic
- Space group: C2/m, No. 12

Geometry as POSCAR:
```
KDyBe2F8
1.0
5.066 -0.163 -0.017
2.192 4.570 -0.017
0.310 0.188 8.138
K Dy Be F
1 1 2 8
Cartesian
0.155 0.094 4.069
0.000 0.000 0.000
4.645 2.821 1.824
2.922 1.774 6.281
4.363 1.133 6.511
5.467 3.319 0.546
5.227 3.174 3.146
2.340 1.421 4.959
2.100 1.275 7.559
3.018 3.349 6.511
4.549 1.246 1.594
3.204 3.462 1.594
```

Number 1: Fermi-level density of states 6.3 states/eV/cell. Number 2: Fermi-level density of states 3.4 states/eV/cell. Number 3: Fermi-level density of states 3.0 states/eV/cell. Number 4: Fermi-level density of states 1.7 states/eV/cell. Number 5: Fermi-level density of states 5.0 states/eV/cell. Number 6: Fermi-level density of states 4.5 states/eV/cell. Number 7: Fermi-level density of states 4.5 states/eV/cell. Number 8: Fermi-level density of states 1.4 states/eV/cell. Number 9: Fermi-level density of states 5.7 states/eV/cell. Number 10: Fermi-level density of states 6.1 states/eV/cell. Number 11: Fermi-level density of states 4.3 states/eV/cell. Number 12: Fermi-level density of states 2.3 states/eV/cell. Number 13: Fermi-level density of states 23.3 states/eV/cell. Number 14: Fermi-level density of states 3.2 states/eV/cell. Number 15: Fermi-level density of states 3.5 states/eV/cell. Number 16: Fermi-level density of states 3.5 states/eV/cell. Number 17: Fermi-level density of states 4.2 states/eV/cell. Number 18: Fermi-level density of states 3.3 states/eV/cell. Number 19: Fermi-level density of states 2.4 states/eV/cell. Number 20: Fermi-level density of states 1.8 states/eV/cell. Number 21: Fermi-level density of states 3.4 states/eV/cell. Number 22: Fermi-level density of states 5.4 states/eV/cell. Number 23: Fermi-level density of states 3.9 states/eV/cell. Number 24: Fermi-level density of states 1.4 states/eV/cell. Number 25: Fermi-level density of states 3.6 states/eV/cell. Number 26: Fermi-level density of states 0.0 states/eV/cell.